Crystalline Na2LiMo at its relaxed geometry, computed with GGA-PBE.

The structure belongs to space group I-42d (No. 122); the cell edges are 8.357, 8.357 and 6.068 Å and the angles 90.00°, 90.00° and 90.00°. The inequivalent atoms are Na at (0.224, 0.250, 0.125), Li at (0.000, 0.000, 0.000) and Mo at (0.000, 0.000, 0.500).

The excess energy over the best structure of this formula in the dataset comes out at 90 meV/atom. The total energy is -2.717 eV per atom. As for the crystal system: tetragonal. The calculation puts the energy of formation at 1128.3 meV per atom. The calculated volume comes out at 26.490 Å³ per atom.

Crystalline Na2Li2Mo at its relaxed geometry, computed with GGA-PBE.

The structure belongs to space group P4/mbm (No. 127); the cell edges are 8.380, 8.380 and 2.666 Å and the angles 90.00°, 90.00° and 90.00°. The inequivalent atoms are Na at (0.131, 0.369, 0.000), Li at (0.181, 0.681, 0.500) and Mo at (0.000, 0.000, 0.000).

The excess energy over the best structure of this formula in the dataset comes out at 0 meV/atom. The total energy is -2.730 eV per atom. As for the crystal system: tetragonal. The calculation puts the energy of formation at 729.8 meV per atom. The calculated volume comes out at 18.721 Å³ per atom.

Number 1: total moment 18.2 Bohr magnetons per cell. Number 2: total moment 0.0 Bohr magnetons per cell.